No. 1
VASP calculation (PBE-GGA) on an optimized crystal structure of Sb2PtW.

Properties
calculated density = 11.37 g/cm3
DOS at the Fermi energy = 0.66 states/eV/atom
ΔE to the lowest computed polymorph = 0.142 eV/f.u.

a = 2.903 Å, b = 4.133 Å, c = 7.707 Å
α = 90.00°, β = 100.48°, γ = 90.00°
Positions (direct):
Sb (0.000, 0.000, 0.000)
Sb (0.257, 0.500, 0.604)
Pt (0.171, 0.000, 0.375)
W (0.601, 0.500, 0.231)

---

No. 2
VASP calculation (PBE-GGA) on an optimized crystal structure of SbPt2W.

Properties
calculated density = 16.21 g/cm3
DOS at the Fermi energy = 0.83 states/eV/atom
energy = -7.085 eV per atom

a = 5.014 Å, b = 5.014 Å, c = 2.835 Å
α = 90.00°, β = 90.00°, γ = 90.00°
Positions (direct):
Sb (0.000, 0.000, 0.000)
Pt (0.000, 0.500, 0.500)
Pt (0.500, 0.000, 0.500)
W (0.500, 0.500, 0.000)

---

No. 3
VASP calculation (PBE-GGA) on an optimized crystal structure of SbPt2W.

Properties
calculated density = 16.01 g/cm3
DOS at the Fermi energy = 0.79 states/eV/atom
energy = -7.367 eV per atom

a = 2.914 Å, b = 2.914 Å, c = 8.499 Å
α = 90.00°, β = 90.00°, γ = 90.00°
Positions (direct):
Sb (0.000, 0.000, 0.000)
Pt (0.500, 0.500, 0.286)
Pt (0.500, 0.500, 0.714)
W (0.000, 0.000, 0.500)

---

No. 4
VASP calculation (PBE-GGA) on an optimized crystal structure of Sb2PtW.

Properties
calculated density = 11.44 g/cm3
DOS at the Fermi energy = 0.46 states/eV/atom
ΔE to the lowest computed polymorph = 0.000 eV/f.u.

a = 3.052 Å, b = 3.052 Å, c = 9.696 Å
α = 90.00°, β = 90.00°, γ = 90.00°
Positions (direct):
Sb (0.000, 0.000, 0.000)
Sb (0.500, 0.500, 0.400)
Pt (0.500, 0.500, 0.782)
W (0.000, 0.000, 0.609)